Mn2Pd2Au | PBE-GGA | relaxed

Properties
Final energy (eV per atom): -5.944
SG: P4/mbm
Energy above the most stable polymorph in this dataset (meV per atom): 610.5
Mass density (Mg/m³): 11.80

Cell and atoms, written as POSCAR:
```
Mn2Pd2Au
1.0
-5.2714 -5.1556 -0.2072
3.8445 -4.1221 4.7580
-1.2543 1.2000 2.0531
Mn Au Pd
4 2 4
direct
0.1701 0.6701 0.5000 Mn
0.3299 0.1701 0.5000 Mn
0.8299 0.3299 0.5000 Mn
0.6701 0.8299 0.5000 Mn
0.0000 0.0000 0.0000 Au
0.5000 0.5000 0.0000 Au
0.6269 0.1269 0.0000 Pd
0.8731 0.6269 0.0000 Pd
0.1269 0.3731 0.0000 Pd
0.3731 0.8731 0.0000 Pd
```


MnPd6Au3 | PBE-GGA | relaxed

Properties
Final energy (eV per atom): -5.112
SG: P2_1/c
Energy above the most stable polymorph in this dataset (meV per atom): 0.0
Mass density (Mg/m³): 13.21

Cell and atoms, written as POSCAR:
```
MnPd6Au3
1.0
-1.8420 1.2717 1.8367
2.5575 -1.7142 3.7518
14.7593 17.7267 -1.9614
Pd Mn Au
12 2 6
direct
0.0976 0.6573 0.0975 Pd
0.4024 0.1573 0.4025 Pd
0.5976 0.8427 0.5975 Pd
0.0951 0.3502 0.5950 Pd
0.4049 0.8502 0.9050 Pd
0.9024 0.3427 0.9025 Pd
0.9049 0.6498 0.4050 Pd
0.6974 0.1891 0.6970 Pd
0.1974 0.3109 0.1970 Pd
0.8026 0.6891 0.8030 Pd
0.5951 0.1498 0.0950 Pd
0.3026 0.8109 0.3030 Pd
0.5000 0.5000 0.5000 Mn
0.0000 0.0000 0.0000 Mn
0.5000 0.5000 0.0000 Au
0.1986 0.6884 0.6983 Au
0.8014 0.3116 0.3017 Au
0.3014 0.1884 0.8017 Au
0.0000 0.0000 0.5000 Au
0.6986 0.8116 0.1983 Au
```


MnPd12Au3 | PBE-GGA | relaxed

Properties
Final energy (eV per atom): -5.176
SG: P4/mmm
Mass density (Mg/m³): 12.64

Cell and atoms, written as POSCAR:
```
MnPd12Au3
1.0
-0.4624 3.8118 -1.0447
-3.8910 -0.6237 -0.5535
-2.7816 3.8371 15.2320
Pd Mn Au
12 1 3
direct
0.5000 0.0000 0.1195 Pd
0.0000 0.5000 0.8805 Pd
0.0000 0.5000 0.1195 Pd
0.5000 0.0000 0.6265 Pd
0.5000 0.0000 0.3735 Pd
0.0000 0.5000 0.3735 Pd
0.0000 0.5000 0.6265 Pd
0.5000 0.5000 0.0000 Pd
0.5000 0.0000 0.8805 Pd
0.5000 0.5000 0.7536 Pd
0.5000 0.5000 0.2464 Pd
0.5000 0.5000 0.5000 Pd
0.0000 0.0000 0.0000 Mn
0.0000 0.0000 0.5000 Au
0.0000 0.0000 0.7530 Au
0.0000 0.0000 0.2470 Au
```


MnPd2Au3 | PBE-GGA | relaxed

Properties
Final energy (eV per atom): -4.924
SG: C2/m
Energy above the most stable polymorph in this dataset (meV per atom): 102.7
Mass density (Mg/m³): 13.81

Cell and atoms, written as POSCAR:
```
MnPd2Au3
1.0
2.8826 0.0000 0.0000
1.4413 7.0762 0.2658
1.4413 1.7518 10.1927
Au Mn Pd
6 2 4
direct
0.2530 0.1835 0.3105 Au
0.0402 0.1401 0.7795 Au
0.7470 0.8165 0.6895 Au
0.3936 0.1748 0.0381 Au
0.6064 0.8252 0.9619 Au
0.9598 0.8599 0.2205 Au
0.5717 0.5135 0.3431 Mn
0.4283 0.4865 0.6569 Mn
0.8212 0.4779 0.8797 Pd
0.6314 0.1991 0.5382 Pd
0.3686 0.8009 0.4618 Pd
0.1788 0.5221 0.1203 Pd
```


The calculation returns the following M_tot values, one per record and in order: 0.19 4.95 5.67 4.63 μB per formula unit.
The calculation returns the following ΔE_f values, one per record and in order: 0.456 -0.096 -0.094 -0.026 eV/atom.
The calculation returns the following Fermi-level density of states values, one per record and in order: 1.791 0.759 1.197 0.410 states/eV per atom.